Record 1
Computed, not measured: a geometry-optimized Pm5Pd4Pt structure at the PBE level of DFT.

Cell lengths 3.5653, 3.5653, 18.2932 Å; angles 90.00, 90.00, 90.00 degrees
Positions (direct):
1 Pm 0.5000 0.5000 0.0975
2 Pm 0.5000 0.5000 0.2993
3 Pm 0.5000 0.5000 0.5000
4 Pm 0.5000 0.5000 0.7007
5 Pm 0.5000 0.5000 0.9025
6 Pd 0.0000 0.0000 0.2003
7 Pd 0.0000 0.0000 0.3998
8 Pd 0.0000 0.0000 0.6002
9 Pd 0.0000 0.0000 0.7997
10 Pt 0.0000 0.0000 0.0000

Total moment in μB/cell: 0.000
Symmetry: No. 123
Electronic total energy in eV/atom: -5.888


Record 2
Computed, not measured: a geometry-optimized Pm12Pd5Pt2 structure at the PBE level of DFT.

Cell lengths 7.6112, 8.9589, 9.4002 Å; angles 103.53, 90.00, 115.14 degrees
Positions (direct):
1 Pm 0.9603 0.9206 0.1791
2 Pm 0.0859 0.6404 0.8867
3 Pm 0.5545 0.6404 0.8867
4 Pm 0.1108 0.7154 0.4459
5 Pm 0.6046 0.7154 0.4459
6 Pm 0.5007 0.0014 0.7487
7 Pm 0.4993 0.9986 0.2513
8 Pm 0.8892 0.2846 0.5541
9 Pm 0.3954 0.2846 0.5541
10 Pm 0.9141 0.3596 0.1133
11 Pm 0.4455 0.3596 0.1133
12 Pm 0.0397 0.0794 0.8209
13 Pd 0.2881 0.5762 0.6339
14 Pd 0.3154 0.6308 0.1604
15 Pd 0.0000 0.0000 0.5000
16 Pd 0.6846 0.3692 0.8396
17 Pd 0.7119 0.4238 0.3661
18 Pt 0.7212 0.0000 0.0000
19 Pt 0.2788 0.0000 0.0000

Total moment in μB/cell: 0.000
Symmetry: No. 12
Electronic total energy in eV/atom: -5.577


Record 3
Computed, not measured: a geometry-optimized Pm3Pd2Pt structure at the PBE level of DFT.

Cell lengths 5.9042, 8.3530, 7.2440 Å; angles 106.82, 114.05, 90.00 degrees
Positions (direct):
1 Pm 0.5023 0.2500 0.0000
2 Pm 0.4977 0.7500 0.0000
3 Pm 0.1608 0.0817 0.3265
4 Pm 0.8343 0.4183 0.6735
5 Pm 0.1657 0.5817 0.3265
6 Pm 0.8392 0.9183 0.6735
7 Pd 0.6703 0.5838 0.3354
8 Pd 0.6651 0.0838 0.3354
9 Pd 0.3349 0.9162 0.6646
10 Pd 0.3297 0.4162 0.6646
11 Pt 0.9978 0.7500 0.0000
12 Pt 0.0022 0.2500 0.0000

Total moment in μB/cell: 0.000
Symmetry: No. 15
E above lowest polymorph in meV per atom: 55.9
Electronic total energy in eV/atom: -5.933


Record 4
Computed, not measured: a geometry-optimized Pm6PdPt5 structure at the PBE level of DFT.

Cell lengths 5.0899, 7.1153, 8.7911 Å; angles 66.13, 73.49, 90.00 degrees
Positions (direct):
1 Pt 0.6617 0.1613 0.6773
2 Pt 0.3304 0.3313 0.3374
3 Pt 0.0000 0.5000 0.0000
4 Pt 0.6696 0.6687 0.6626
5 Pt 0.3383 0.8387 0.3227
6 Pd 0.0000 0.0000 0.0000
7 Pm 0.8320 0.5807 0.3355
8 Pm 0.8321 0.0838 0.3355
9 Pm 0.5000 0.7466 0.0000
10 Pm 0.5000 0.2534 0.0000
11 Pm 0.1679 0.9162 0.6645
12 Pm 0.1680 0.4193 0.6645

Total moment in μB/cell: 0.000
Symmetry: No. 12
E above lowest polymorph in meV per atom: 0.0
Electronic total energy in eV/atom: -6.360


Record 5
Computed, not measured: a geometry-optimized Pm3Pd2Pt structure at the PBE level of DFT.

Cell lengths 7.3201, 7.3201, 7.3201 Å; angles 64.77, 64.77, 64.77 degrees
Positions (direct):
1 Pm 0.4120 0.0880 0.7500
2 Pm 0.0880 0.7500 0.4120
3 Pm 0.7500 0.4120 0.0880
4 Pm 0.5880 0.9120 0.2500
5 Pm 0.9120 0.2500 0.5880
6 Pm 0.2500 0.5880 0.9120
7 Pd 0.3319 0.3319 0.3319
8 Pd 0.1681 0.1681 0.1681
9 Pd 0.8319 0.8319 0.8319
10 Pd 0.6681 0.6681 0.6681
11 Pt 0.5000 0.5000 0.5000
12 Pt 0.0000 0.0000 0.0000

Total moment in μB/cell: 0.000
Symmetry: No. 167
E above lowest polymorph in meV per atom: 0.0
Electronic total energy in eV/atom: -5.989


Record 6
Computed, not measured: a geometry-optimized Pm2PdPt4 structure at the PBE level of DFT.

Cell lengths 3.9907, 3.9907, 9.5953 Å; angles 102.00, 102.00, 90.00 degrees
Positions (direct):
1 Pm 0.6054 0.6054 0.2108
2 Pm 0.3946 0.3946 0.7892
3 Pd 0.0000 0.0000 0.0000
4 Pt 0.1445 0.1445 0.2889
5 Pt 0.8555 0.8555 0.7111
6 Pt 0.7500 0.2500 0.5000
7 Pt 0.2500 0.7500 0.5000

Total moment in μB/cell: 0.000
Symmetry: No. 139
Electronic total energy in eV/atom: -6.333


no.,ΔE_f (eV/atom)
1,-0.831
2,-0.574
3,-0.820
4,-1.035
5,-0.876
6,-0.782